This record from Alexandria via LeMat-Bulk describes TbCePmHo after structural relaxation. The functional is PBE.

The formation energy is 0.20 eV per atom. The value obtained for the total magnetization is 3.15 μB/f.u. For the density of states at the Fermi level, the calculation gives 2.600 states/eV/atom.

The space group is F-43m (No. 216) and the conventional cell measures 8.056, 8.056 and 8.056 Å, with angles of 90.00, 90.00 and 90.00 degrees. The inequivalent atoms are Tb at (0.000, 0.000, 0.000), Ce at (0.250, 0.250, 0.750), Pm at (0.000, 0.000, 0.500) and Ho at (0.250, 0.250, 0.250).